Here is a relaxed Np2NiO11 crystal from Alexandria. Energies are from PBE with a Hubbard U.

```
Np2NiO11
1.0
12.782 0.000 6.664
5.673 5.748 4.709
3.726 0.908 8.445
O Np Ni
22 4 2
direct
0.462 0.452 0.480
0.560 0.395 0.520
0.522 0.573 0.522
0.164 0.967 0.225
0.831 0.045 0.776
0.608 0.495 0.768
0.026 0.895 0.020
0.848 0.545 0.276
0.485 0.077 0.123
0.520 0.959 0.842
0.179 0.458 0.342
0.247 0.339 0.981
0.814 0.577 0.624
0.145 0.467 0.725
0.106 0.952 0.980
0.933 0.839 0.481
0.748 0.675 0.019
0.383 0.518 0.239
0.058 0.175 0.519
0.883 0.073 0.022
0.361 0.018 0.739
0.629 0.995 0.268
0.678 0.823 0.173
0.166 0.694 0.323
0.317 0.194 0.823
0.826 0.323 0.673
0.753 0.739 0.758
0.250 0.238 0.258
```

## Properties
space group = Cc
raw total energy = -0.547 Ry per atom